A plane-wave DFT calculation with PBE+U was carried out for an optimized crystal structure of Hf3MnF6.

```
10
Lattice="-5.668 -2.448 -0.885 3.417 2.334 -6.362 1.688 -5.638 4.798" Properties=species:S:1:pos:R:3 pbc="T T T"
Mn 0.000 0.000 0.000
F 3.470 -3.703 -0.221
F -1.005 -0.741 -1.754
F -4.032 -2.048 -2.227
F -1.297 -3.824 -3.067
F 0.735 -1.927 0.619
F 0.443 -5.011 -0.694
Hf 0.844 -2.819 2.399
Hf -1.125 -0.057 -3.623
Hf 1.709 1.167 -3.181
```

Relative energy among the computed polymorphs (meV/atom): 22